KBaIr2 | meta-GGA SCAN | PBEsol geometry Values from VASP.

Geometry as Quantum ESPRESSO input:
```
&SYSTEM
  ibrav = 0, nat = 4, ntyp = 3
/
ATOMIC_SPECIES
K 39.10 K.upf
Ba 137.33 Ba.upf
Ir 192.22 Ir.upf
ATOMIC_POSITIONS crystal
K 0.000 0.000 0.000
Ba 0.500 0.500 0.439
Ir 0.000 0.000 0.674
Ir 0.500 0.500 0.745
CELL_PARAMETERS angstrom
2.993 0.000 0.000
0.000 3.987 0.000
0.000 0.000 9.614
```

Output
Formation enthalpy at 0 K   0.31 eV/atom
Symmetry   Pmm2 (25)

Y2ScP | meta-GGA SCAN | PBEsol geometry Values from VASP.

Geometry as Quantum ESPRESSO input:
```
&SYSTEM
  ibrav = 0, nat = 4, ntyp = 3
/
ATOMIC_SPECIES
Y 88.91 Y.upf
Sc 44.96 Sc.upf
P 30.97 P.upf
ATOMIC_POSITIONS crystal
Y 0.000 0.000 0.000
Y 0.500 0.297 0.297
Sc 0.500 0.584 0.584
P 0.000 0.723 0.723
CELL_PARAMETERS angstrom
4.188 0.000 0.000
0.000 1.978 5.585
0.000 -1.978 5.585
```

Output
Formation enthalpy at 0 K   -0.75 eV/atom
Symmetry   Amm2 (38)

Hf2MgSnPt | meta-GGA SCAN | PBEsol geometry Values from VASP.

Geometry as Quantum ESPRESSO input:
```
&SYSTEM
  ibrav = 0, nat = 5, ntyp = 4
/
ATOMIC_SPECIES
Hf 178.49 Hf.upf
Mg 24.30 Mg.upf
Sn 118.71 Sn.upf
Pt 195.08 Pt.upf
ATOMIC_POSITIONS crystal
Hf 0.000 0.500 0.000
Hf 0.500 0.000 0.000
Mg 0.000 0.000 0.000
Sn 0.000 0.000 0.500
Pt 0.500 0.500 0.500
CELL_PARAMETERS angstrom
4.892 0.000 0.000
0.000 4.892 0.000
0.000 0.000 4.732
```

Output
Formation enthalpy at 0 K   1.19 eV/atom
Symmetry   P4/mmm (123)

TePbI2Cl | meta-GGA SCAN | PBEsol geometry Values from VASP.

Geometry as Quantum ESPRESSO input:
```
&SYSTEM
  ibrav = 0, nat = 5, ntyp = 4
/
ATOMIC_SPECIES
Te 127.60 Te.upf
Pb 207.20 Pb.upf
I 126.90 I.upf
Cl 35.45 Cl.upf
ATOMIC_POSITIONS crystal
Te 0.000 0.000 0.000
Pb 0.000 0.000 0.500
I 0.000 0.500 0.500
I 0.500 0.000 0.500
Cl 0.500 0.500 0.000
CELL_PARAMETERS angstrom
5.942 0.000 0.000
0.000 5.942 0.000
0.000 0.000 6.042
```

Output
Symmetry   P4/mmm (123)
Formation energy from raw total energies   23.5 kJ/mol of atoms

InSb2Te | meta-GGA SCAN | PBEsol geometry Values from VASP.

Geometry as Quantum ESPRESSO input:
```
&SYSTEM
  ibrav = 0, nat = 4, ntyp = 3
/
ATOMIC_SPECIES
In 114.82 In.upf
Sb 121.76 Sb.upf
Te 127.60 Te.upf
ATOMIC_POSITIONS crystal
In 0.000 0.000 0.000
Sb 0.494 0.494 0.494
Sb 0.751 0.751 0.751
Te 0.252 0.252 0.252
CELL_PARAMETERS angstrom
1.657 0.957 11.370
-1.657 0.957 11.370
0.000 -1.913 11.370
```

Output
Symmetry   R3m (160)
Formation energy from raw total energies   24.0 kJ/mol of atoms

Tl3Ag3As2S6 | meta-GGA SCAN | PBEsol geometry Values from VASP.

Geometry as Quantum ESPRESSO input:
```
&SYSTEM
  ibrav = 0, nat = 56, ntyp = 4
/
ATOMIC_SPECIES
Tl 204.38 Tl.upf
Ag 107.87 Ag.upf
As 74.92 As.upf
S 32.06 S.upf
ATOMIC_POSITIONS crystal
Tl 0.155 0.246 0.225
Tl 0.155 0.254 0.725
Tl 0.205 0.513 0.982
Tl 0.205 0.987 0.482
Tl 0.209 0.611 0.614
Tl 0.209 0.889 0.114
Tl 0.791 0.111 0.886
Tl 0.791 0.389 0.386
Tl 0.795 0.013 0.518
Tl 0.795 0.487 0.018
Tl 0.845 0.746 0.275
Tl 0.845 0.754 0.775
Ag 0.121 0.160 0.933
Ag 0.121 0.340 0.433
Ag 0.459 0.629 0.549
Ag 0.459 0.871 0.049
Ag 0.464 0.643 0.925
Ag 0.464 0.857 0.425
Ag 0.536 0.143 0.575
Ag 0.536 0.357 0.075
Ag 0.541 0.129 0.951
Ag 0.541 0.371 0.451
Ag 0.879 0.660 0.567
Ag 0.879 0.840 0.067
As 0.165 0.593 0.256
As 0.165 0.907 0.756
As 0.498 0.644 0.255
As 0.498 0.856 0.755
As 0.502 0.144 0.245
As 0.502 0.356 0.745
As 0.835 0.093 0.244
As 0.835 0.407 0.744
S 0.004 0.524 0.311
S 0.004 0.976 0.811
S 0.006 0.673 0.056
S 0.006 0.827 0.556
S 0.247 0.748 0.390
S 0.247 0.752 0.890
S 0.367 0.082 0.034
S 0.367 0.418 0.534
S 0.381 0.072 0.342
S 0.381 0.428 0.842
S 0.420 0.175 0.712
S 0.420 0.325 0.212
S 0.580 0.675 0.788
S 0.580 0.825 0.288
S 0.619 0.572 0.158
S 0.619 0.928 0.658
S 0.633 0.582 0.466
S 0.633 0.918 0.966
S 0.753 0.248 0.110
S 0.753 0.252 0.610
S 0.994 0.173 0.444
S 0.994 0.327 0.944
S 0.996 0.024 0.189
S 0.996 0.476 0.689
CELL_PARAMETERS angstrom
10.811 0.000 0.000
0.000 11.715 0.000
-5.827 0.000 10.159
```

Output
Symmetry   P2_1/c (14)
Formation energy from raw total energies   -26.5 kJ/mol of atoms

AlSbPI2 | meta-GGA SCAN | PBEsol geometry Values from VASP.

Geometry as Quantum ESPRESSO input:
```
&SYSTEM
  ibrav = 0, nat = 5, ntyp = 4
/
ATOMIC_SPECIES
Al 26.98 Al.upf
Sb 121.76 Sb.upf
P 30.97 P.upf
I 126.90 I.upf
ATOMIC_POSITIONS crystal
Al 0.000 0.000 0.000
Sb 0.500 0.500 0.000
P 0.500 0.500 0.500
I 0.000 0.500 0.500
I 0.500 0.000 0.500
CELL_PARAMETERS angstrom
5.402 0.000 0.000
0.000 5.402 0.000
0.000 0.000 5.264
```

Output
Symmetry   P4/mmm (123)
Formation energy from raw total energies   58.8 kJ/mol of atoms

NbBiPt3 | meta-GGA SCAN | PBEsol geometry Values from VASP.

Geometry as Quantum ESPRESSO input:
```
&SYSTEM
  ibrav = 0, nat = 5, ntyp = 3
/
ATOMIC_SPECIES
Nb 92.91 Nb.upf
Bi 208.98 Bi.upf
Pt 195.08 Pt.upf
ATOMIC_POSITIONS crystal
Nb 0.000 0.000 0.000
Bi 0.500 0.500 0.500
Pt 0.000 0.000 0.500
Pt 0.000 0.500 0.000
Pt 0.500 0.000 0.000
CELL_PARAMETERS angstrom
4.848 0.000 0.000
0.000 4.848 0.000
0.000 0.000 4.848
```

Output
Formation enthalpy at 0 K   0.73 eV/atom
Symmetry   Pm-3m (221)

SrRu3 | meta-GGA SCAN | PBEsol geometry Values from VASP.

Geometry as Quantum ESPRESSO input:
```
&SYSTEM
  ibrav = 0, nat = 4, ntyp = 2
/
ATOMIC_SPECIES
Sr 87.62 Sr.upf
Ru 101.07 Ru.upf
ATOMIC_POSITIONS crystal
Sr 0.000 0.000 0.000
Ru 0.000 0.000 0.500
Ru 0.500 0.500 0.298
Ru 0.500 0.500 0.702
CELL_PARAMETERS angstrom
2.825 0.000 0.000
0.000 2.825 0.000
0.000 0.000 8.367
```

Output
Formation enthalpy at 0 K   0.62 eV/atom
Symmetry   P4/mmm (123)

Zr2ZnFePb | meta-GGA SCAN | PBEsol geometry Values from VASP.

Geometry as Quantum ESPRESSO input:
```
&SYSTEM
  ibrav = 0, nat = 5, ntyp = 4
/
ATOMIC_SPECIES
Zr 91.22 Zr.upf
Zn 65.41 Zn.upf
Fe 55.84 Fe.upf
Pb 207.20 Pb.upf
ATOMIC_POSITIONS crystal
Zr 0.000 0.500 0.000
Zr 0.500 0.000 0.000
Zn 0.000 0.000 0.500
Fe 0.500 0.500 0.500
Pb 0.000 0.000 0.000
CELL_PARAMETERS angstrom
5.361 0.000 0.000
0.000 5.361 0.000
0.000 0.000 4.696
```

Output
Formation enthalpy at 0 K   1.26 eV/atom
Symmetry   P4/mmm (123)

As2PdRh | meta-GGA SCAN | PBEsol geometry Values from VASP.

Geometry as Quantum ESPRESSO input:
```
&SYSTEM
  ibrav = 0, nat = 4, ntyp = 3
/
ATOMIC_SPECIES
As 74.92 As.upf
Pd 106.42 Pd.upf
Rh 102.91 Rh.upf
ATOMIC_POSITIONS crystal
As 0.250 0.250 0.250
As 0.750 0.750 0.750
Pd 0.000 0.000 0.000
Rh 0.500 0.500 0.500
CELL_PARAMETERS angstrom
0.000 3.116 3.116
3.116 0.000 3.116
3.116 3.116 0.000
```

Output
Formation enthalpy at 0 K   -0.19 eV/atom
Symmetry   Fm-3m (225)

LiTaNi | meta-GGA SCAN | PBEsol geometry Values from VASP.

Geometry as Quantum ESPRESSO input:
```
&SYSTEM
  ibrav = 0, nat = 3, ntyp = 3
/
ATOMIC_SPECIES
Li 6.94 Li.upf
Ta 180.95 Ta.upf
Ni 58.69 Ni.upf
ATOMIC_POSITIONS crystal
Li 0.000 0.000 0.000
Ta 0.300 0.300 0.700
Ni 0.650 0.650 0.350
CELL_PARAMETERS angstrom
0.000 2.108 6.305
1.637 0.000 6.305
1.637 2.108 0.000
```

Output
Formation enthalpy at 0 K   0.19 eV/atom
Symmetry   Fmm2 (42)

| no. | E_tot (eV/atom) | magnetic moment (μB/cell) |
| --- | --- | --- |
| 1 | -47.2117 | 0.5 |
| 2 | -20.8337 | 0.0 |
| 3 | -46.0925 | 0.0 |
| 4 | -38.6552 | 2.4 |
| 5 | -36.0405 | 0.0 |
| 6 | -29.5121 | 0.0 |
| 7 | -25.1695 | 0.0 |
| 8 | -63.7228 | 0.0 |
| 9 | -31.0646 | 0.0 |
| 10 | -32.5009 | 2.5 |
| 11 | -26.9215 | 0.0 |
| 12 | -28.1931 | 0.0 |